# 1
A plane-wave DFT calculation with PBE was carried out for Tl3Os after structural relaxation.

V: 25.98 Å³/atom
E_form: 0.59 eV per atom
relative energy among the computed polymorphs: 157 meV per atom
Fermi-level density of states: 2.5 states/eV/f.u.
space-group type: No. 71

```
Tl3Os
1.0
-1.5544 2.3326 7.1652
1.5544 -2.3326 7.1652
1.5544 2.3326 -7.1652
Tl Os
3 1
Direct
0.0000 0.0000 0.0000 Tl
0.3220 0.8220 0.5000 Tl
0.6780 0.1780 0.5000 Tl
0.5000 0.5000 0.0000 Os
```

# 2
A plane-wave DFT calculation with PBE was carried out for TlOs after structural relaxation.

V: 24.86 Å³/atom
E_form: 0.70 eV per atom
relative energy among the computed polymorphs: 99 meV per atom
Fermi-level density of states: 0.6 states/eV/f.u.
space-group type: No. 166

```
TlOs
1.0
2.0343 1.1745 6.9366
-2.0343 1.1745 6.9366
0.0000 -2.3490 6.9366
Tl Os
2 2
Direct
0.1066 0.1066 0.1066 Tl
0.8934 0.8934 0.8934 Tl
0.3452 0.3452 0.3452 Os
0.6548 0.6548 0.6548 Os
```

# 3
A plane-wave DFT calculation with PBE was carried out for Tl3Os after structural relaxation.

V: 37.88 Å³/atom
E_form: 0.44 eV per atom
relative energy among the computed polymorphs: 0 meV per atom
Fermi-level density of states: 3.0 states/eV/f.u.
space-group type: No. 221

```
Tl3Os
1.0
5.3311 0.0000 0.0000
0.0000 5.3311 0.0000
0.0000 0.0000 5.3311
Tl Os
3 1
Direct
0.0000 0.0000 0.5000 Tl
0.0000 0.5000 0.0000 Tl
0.5000 0.0000 0.0000 Tl
0.0000 0.0000 0.0000 Os
```

# 4
A plane-wave DFT calculation with PBE was carried out for Tl2Os after structural relaxation.

V: 22.08 Å³/atom
E_form: 0.66 eV per atom
relative energy among the computed polymorphs: 190 meV per atom
Fermi-level density of states: 1.7 states/eV/f.u.
space-group type: No. 140

```
Tl2Os
1.0
-3.5681 3.5681 2.6020
3.5681 -3.5681 2.6020
3.5681 3.5681 -2.6020
Tl Os
4 2
Direct
0.1579 0.6579 0.8157 Tl
0.3421 0.1579 0.5000 Tl
0.6579 0.8421 0.5000 Tl
0.8421 0.3421 0.1843 Tl
0.2500 0.2500 0.0000 Os
0.7500 0.7500 0.0000 Os
```

# 5
A plane-wave DFT calculation with PBE was carried out for Tl3Os2 after structural relaxation.

V: 21.90 Å³/atom
E_form: 0.77 eV per atom
relative energy among the computed polymorphs: 0 meV per atom
Fermi-level density of states: 3.7 states/eV/f.u.
space-group type: No. 43

```
Tl3Os2
1.0
0.0000 10.8783 1.5045
6.6913 0.0000 1.5045
6.6913 10.8783 0.0000
Tl Os
6 4
Direct
0.0000 0.0000 0.0000 Tl
0.2500 0.2500 0.2500 Tl
0.3473 0.4571 0.3768 Tl
0.4312 0.8732 0.7929 Tl
0.4571 0.3473 0.8188 Tl
0.8732 0.4312 0.9027 Tl
0.1431 0.6021 0.2893 Os
0.2845 0.9607 0.6479 Os
0.6021 0.1431 0.9655 Os
0.9607 0.2845 0.1069 Os
```

# 6
A plane-wave DFT calculation with PBE was carried out for Tl4Os after structural relaxation.

V: 30.51 Å³/atom
E_form: 0.40 eV per atom
relative energy among the computed polymorphs: 0 meV per atom
Fermi-level density of states: 2.7 states/eV/f.u.
space-group type: No. 221

```
Tl4Os
1.0
5.3431 0.0000 0.0000
0.0000 5.3431 0.0000
0.0000 0.0000 5.3431
Tl Os
4 1
Direct
0.0000 0.0000 0.0000 Tl
0.0000 0.5000 0.5000 Tl
0.5000 0.0000 0.5000 Tl
0.5000 0.5000 0.0000 Tl
0.5000 0.5000 0.5000 Os
```

# 7
A plane-wave DFT calculation with PBE was carried out for TlOs after structural relaxation.

V: 18.34 Å³/atom
E_form: 1.14 eV per atom
relative energy among the computed polymorphs: 537 meV per atom
Fermi-level density of states: 1.4 states/eV/f.u.
space-group type: No. 59

```
TlOs
1.0
3.0580 0.0000 0.0000
0.0000 4.9405 0.0000
0.0000 0.0000 4.8569
Tl Os
2 2
Direct
0.2500 0.2500 0.0865 Tl
0.7500 0.7500 0.9135 Tl
0.2500 0.7500 0.4305 Os
0.7500 0.2500 0.5695 Os
```

# 8
A plane-wave DFT calculation with PBE was carried out for Tl2Os after structural relaxation.

V: 22.29 Å³/atom
E_form: 0.93 eV per atom
relative energy among the computed polymorphs: 453 meV per atom
Fermi-level density of states: 2.9 states/eV/f.u.
space-group type: No. 141

```
Tl2Os
1.0
-1.6131 1.6131 12.8478
1.6131 -1.6131 12.8478
1.6131 1.6131 -12.8478
Tl Os
4 2
Direct
0.3055 0.5555 0.7500 Tl
0.4445 0.6945 0.7500 Tl
0.5555 0.3055 0.2500 Tl
0.6945 0.4445 0.2500 Tl
0.1250 0.8750 0.2500 Os
0.8750 0.1250 0.7500 Os
```

# 9
A plane-wave DFT calculation with PBE was carried out for Tl2Os after structural relaxation.

V: 21.76 Å³/atom
E_form: 1.11 eV per atom
relative energy among the computed polymorphs: 637 meV per atom
Fermi-level density of states: 1.9 states/eV/f.u.
space-group type: No. 164

```
Tl2Os
1.0
4.9236 0.0000 0.0000
-2.4618 4.2639 0.0000
0.0000 0.0000 3.1096
Tl Os
2 1
Direct
0.3333 0.6667 0.2437 Tl
0.6667 0.3333 0.7563 Tl
0.0000 0.0000 0.0000 Os
```

# 10
A plane-wave DFT calculation with PBE was carried out for Tl5Os3 after structural relaxation.

V: 20.74 Å³/atom
E_form: 1.06 eV per atom
relative energy among the computed polymorphs: 301 meV per atom
Fermi-level density of states: 7.0 states/eV/f.u.
space-group type: No. 193

```
Tl5Os3
1.0
8.1554 0.0000 0.0000
-4.0777 7.0628 0.0000
0.0000 0.0000 5.7616
Tl Os
10 6
Direct
0.0000 0.2450 0.2500 Tl
0.0000 0.7550 0.7500 Tl
0.2450 0.0000 0.2500 Tl
0.2450 0.2450 0.7500 Tl
0.3333 0.6667 0.0000 Tl
0.3333 0.6667 0.5000 Tl
0.6667 0.3333 0.0000 Tl
0.6667 0.3333 0.5000 Tl
0.7550 0.0000 0.7500 Tl
0.7550 0.7550 0.2500 Tl
0.0000 0.3915 0.7500 Os
0.0000 0.6085 0.2500 Os
0.3915 0.0000 0.7500 Os
0.3915 0.3915 0.2500 Os
0.6085 0.0000 0.2500 Os
0.6085 0.6085 0.7500 Os
```

# 11
A plane-wave DFT calculation with PBE was carried out for TlOs after structural relaxation.

V: 20.76 Å³/atom
E_form: 0.79 eV per atom
relative energy among the computed polymorphs: 186 meV per atom
Fermi-level density of states: 1.2 states/eV/f.u.
space-group type: No. 194

```
TlOs
1.0
8.0686 0.0000 0.0000
-4.0343 6.9876 0.0000
0.0000 0.0000 4.4180
Tl Os
6 6
Direct
0.1684 0.3367 0.2500 Tl
0.1684 0.8316 0.2500 Tl
0.3367 0.1684 0.7500 Tl
0.6633 0.8316 0.2500 Tl
0.8316 0.1684 0.7500 Tl
0.8316 0.6633 0.7500 Tl
0.1170 0.5585 0.7500 Os
0.4415 0.5585 0.7500 Os
0.4415 0.8830 0.7500 Os
0.5585 0.1170 0.2500 Os
0.5585 0.4415 0.2500 Os
0.8830 0.4415 0.2500 Os
```

# 12
A plane-wave DFT calculation with PBE was carried out for TlOs after structural relaxation.

V: 19.65 Å³/atom
E_form: 0.79 eV per atom
relative energy among the computed polymorphs: 188 meV per atom
Fermi-level density of states: 1.3 states/eV/f.u.
space-group type: No. 166

```
TlOs
1.0
1.4917 0.8612 10.1966
-1.4917 0.8612 10.1966
0.0000 -1.7225 10.1966
Tl Os
2 2
Direct
0.1152 0.1152 0.1152 Tl
0.8848 0.8848 0.8848 Tl
0.3652 0.3652 0.3652 Os
0.6348 0.6348 0.6348 Os
```